VASP calculation (PBE) on V2PH after structural relaxation.

abc: 5.3923 5.3923 4.9308
angles: 90.00 90.00 144.50
Closest atoms and distances in Å follow each position.
Sites, in units of the cell vectors:
V: 0.0000 0.0000 0.0000  2 H 1.77
V: 0.0000 0.0000 0.5000  2 H 1.77
V: 0.2912 0.7088 0.7500  2 H 1.86
V: 0.7088 0.2912 0.2500  2 H 1.86
P: 0.3748 0.6252 0.2500  8 V 2.37-2.61, 1 H 2.58
P: 0.6252 0.3748 0.7500  8 V 2.37-2.61, 1 H 2.58
H: 0.1238 0.8762 0.2500  4 V 1.77-1.86
H: 0.8762 0.1238 0.7500  4 V 1.77-1.86

Calculated values
space group = Cmcm, No. 63

---

VASP calculation (PBE) on GaAsWBr2 after structural relaxation.

abc: 4.9948 4.9948 5.2114
angles: 90.00 90.00 90.00
Closest atoms and distances in Å follow each position.
Sites, in units of the cell vectors:
Ga: 0.0000 0.0000 0.0000  4 Br 2.50, 2 As 2.61
As: 0.0000 0.0000 0.5000  2 Ga 2.61
W: 0.5000 0.5000 0.5000  4 As 3.53, 8 Br 3.61
Br: 0.0000 0.5000 0.0000  2 Ga 2.50
Br: 0.5000 0.0000 0.0000  2 Ga 2.50

Calculated values
space group = P4/mmm, No. 123
formation energy without anion corrections = 1.188 eV per atom

---

VASP calculation (PBE) on Ga2GeP after structural relaxation.

abc: 6.8319 6.8319 6.8319
angles: 130.52 130.52 72.57
Closest atoms and distances in Å follow each position.
Sites, in units of the cell vectors:
Ga: 0.1087 0.6250 0.9837  2 P 2.39, 2 Ge 2.50
Ga: 0.3750 0.3587 0.4837  2 P 2.39, 2 Ge 2.50
Ga: 0.6413 0.1250 0.0163  2 P 2.39, 2 Ge 2.50
Ga: 0.8750 0.8913 0.5163  2 P 2.39, 2 Ge 2.50
Ge: 0.2500 0.7500 0.5000  4 Ga 2.50
Ge: 0.5000 0.5000 0.0000  4 Ga 2.50
P: 0.0000 0.0000 0.0000  4 Ga 2.39
P: 0.7500 0.2500 0.5000  4 Ga 2.39

Calculated values
ΔH_f (0 K) = -80 meV per atom
space group = I-42d, No. 122

---

no.,offset from the most stable computed form (meV per atom)
1,0
2,850
3,0